# BeNbGa | Alexandria via LeMat-Bulk | GGA-PBE | relaxed
data_BeNbGa
_chemical_formula_sum 'Be2 Nb2 Ga2'
_space_group_name_H-M_alt 'I 4 m m'
_space_group_IT_number 107
_space_group_name_Hall 'I 4 -2'
_cell_length_a 3.464
_cell_length_b 3.464
_cell_length_c 7.568
_cell_angle_alpha 90.00
_cell_angle_beta 90.00
_cell_angle_gamma 90.00
loop_
_atom_site_label
_atom_site_fract_x
_atom_site_fract_y
_atom_site_fract_z
Be1 0.000 0.000 0.000
Nb1 0.000 0.000 0.350
Ga1 0.000 0.000 0.690
# - raw total energy (eV per atom) = -5.2527

---

# TaTcRh2 | Alexandria via LeMat-Bulk | GGA-PBE | relaxed
data_TaTcRh2
_chemical_formula_sum 'Ta4 Tc4 Rh8'
_space_group_name_H-M_alt 'I -4 2 d'
_space_group_IT_number 122
_space_group_name_Hall 'I -4 2bw'
_cell_length_a 6.988
_cell_length_b 6.988
_cell_length_c 5.399
_cell_angle_alpha 90.00
_cell_angle_beta 90.00
_cell_angle_gamma 90.00
loop_
_atom_site_label
_atom_site_fract_x
_atom_site_fract_y
_atom_site_fract_z
Ta1 0.000 0.000 0.000
Tc1 0.000 0.000 0.500
Rh1 0.248 0.250 0.625
# - raw total energy (eV per atom) = -8.9784

---

# Sc2CdAg | Alexandria via LeMat-Bulk | GGA-PBE | relaxed
data_Sc2CdAg
_chemical_formula_sum 'Sc6 Cd3 Ag3'
_space_group_name_H-M_alt 'R -3 m'
_space_group_IT_number 166
_space_group_name_Hall '-R 3 2"'
_cell_length_a 3.1470
_cell_length_b 3.1470
_cell_length_c 32.5958
_cell_angle_alpha 90.00
_cell_angle_beta 90.00
_cell_angle_gamma 120.00
loop_
_atom_site_label
_atom_site_fract_x
_atom_site_fract_y
_atom_site_fract_z
Sc1 0.0000 0.0000 0.0940
Cd1 0.0000 0.0000 0.0000
Ag1 0.0000 0.0000 0.5000
# - raw total energy (eV per atom) = -3.9394

---

# TbTmBePd | Alexandria via LeMat-Bulk | GGA-PBE | relaxed
data_TbTmBePd
_chemical_formula_sum 'Tb4 Tm4 Be4 Pd4'
_space_group_name_H-M_alt 'F -4 3 m'
_space_group_IT_number 216
_space_group_name_Hall 'F -4 2 3'
_cell_length_a 6.918
_cell_length_b 6.918
_cell_length_c 6.918
_cell_angle_alpha 90.00
_cell_angle_beta 90.00
_cell_angle_gamma 90.00
loop_
_atom_site_label
_atom_site_fract_x
_atom_site_fract_y
_atom_site_fract_z
Tb1 0.000 0.000 0.000
Tm1 0.000 0.000 0.500
Be1 0.250 0.250 0.250
Pd1 0.250 0.250 0.750
# - raw total energy (eV per atom) = -4.8752

---

Total moment: 0.0; 0.0; 0.0; 0.0 (μB/cell)
Theoretical density: 6.28; 12.21; 5.53; 8.89 (g cm⁻³)
ΔE_f: 1.06; 1.01; 0.67; -1.48 (eV/f.u.)